# Ca2CdSbP, relaxed, DFT PBE
# size of the total moment: 0.0 μB/f.u.
# space group: P4/mmm, No. 123
# electronic total energy: -2.545 eV per atom
# formation energy from raw total energies: 0.345 eV per atom
# DOS(E_F): 0.578 states/eV per atom
data_Ca2CdSbP
_space_group_name_H-M_alt 'P 1'
_space_group_IT_number 1
_space_group_name_Hall 'P 1'
_cell_length_a 5.754
_cell_length_b 5.754
_cell_length_c 5.249
_cell_angle_alpha 90.00
_cell_angle_beta 90.00
_cell_angle_gamma 90.00
loop_
_atom_site_label
_atom_site_type_symbol
_atom_site_fract_x
_atom_site_fract_y
_atom_site_fract_z
Ca1 Ca 0.000 0.500 0.000
Ca2 Ca 0.500 0.000 0.000
Cd1 Cd 0.000 0.000 0.000
Sb1 Sb 0.000 0.000 0.500
P1 P 0.500 0.500 0.500